No. 1
Here is a crystal of SeCl2 relaxed with PBEsol from the Alexandria database. Energies are from meta-GGA SCAN.

Values from the calculation:
**Uncorrected formation energy**: 0.289 eV/atom
**Crystal system**: trigonal
**DOS(E_F)**: 2.42 states/eV per cell
**SG**: P-3m1 (164)

Cell and atoms, written as POSCAR:
```
SeCl2
1.0
-3.5072 0.0533 2.2466
3.6579 -0.6997 1.8656
0.5591 4.9374 0.7556
Se Cl
1 2
direct
0.0000 0.0000 0.0000 Se
0.3333 0.6667 0.2270 Cl
0.6667 0.3333 0.7730 Cl
```

---

No. 2
Here is a crystal of Ta2FeRh2 relaxed with PBEsol from the Alexandria database. Energies are from meta-GGA SCAN.

Values from the calculation:
**Crystal system**: tetragonal
**VASP energy**: -43.66 eV/atom
**DOS(E_F)**: 3.73 states/eV per cell
**SG**: I4/mmm (139)

Cell and atoms, written as POSCAR:
```
Ta2FeRh2
1.0
-2.6682 1.8303 2.8140
-2.0176 -5.1121 -1.8552
0.8099 -3.1374 2.8086
Ta Fe Rh
2 1 2
direct
0.7500 0.5000 0.7500 Ta
0.2500 0.5000 0.2500 Ta
0.0000 0.0000 0.0000 Fe
0.6209 0.2417 0.3791 Rh
0.3791 0.7583 0.6209 Rh
```

---

No. 3
Here is a crystal of BaCuTe2O7 relaxed with PBEsol from the Alexandria database. Energies are from meta-GGA SCAN.

Values from the calculation:
**Uncorrected formation energy**: -1.563 eV/atom
**Crystal system**: orthorhombic
**SG**: Ama2 (40)

Cell and atoms, written as POSCAR:
```
BaCuTe2O7
1.0
5.4918 0.0000 0.0000
0.0000 7.2035 0.0000
0.0000 -3.6017 7.7758
O Cu Te Ba
14 2 4 2
direct
0.7500 0.4650 0.9658 O
0.9907 0.8406 0.2899 O
0.7500 0.8699 0.7293 O
0.2500 0.1406 0.2707 O
0.5005 0.1619 0.6847 O
0.9995 0.1619 0.6847 O
0.4995 0.4771 0.3153 O
0.2500 0.4992 0.0342 O
0.5000 0.1350 0.0000 O
0.5093 0.8406 0.2899 O
0.0000 0.1350 0.0000 O
0.4907 0.5507 0.7101 O
0.0093 0.5507 0.7101 O
0.0005 0.4771 0.3153 O
0.7500 0.6307 0.2633 Cu
0.2500 0.3674 0.7367 Cu
0.2500 0.8225 0.1395 Te
0.2500 0.3256 0.1556 Te
0.7500 0.6830 0.8605 Te
0.7500 0.1701 0.8444 Te
0.7500 0.2171 0.4195 Ba
0.2500 0.7976 0.5805 Ba
```

---

No. 4
Here is a crystal of Fe3Ir relaxed with PBEsol from the Alexandria database. Energies are from meta-GGA SCAN.

Values from the calculation:
**Crystal system**: orthorhombic
**VASP energy**: -31.58 eV/atom
**DOS(E_F)**: 2.04 states/eV per cell
**SG**: Immm (71)

Cell and atoms, written as POSCAR:
```
Fe3Ir
1.0
-1.8111 0.2022 2.1932
1.1884 -3.7281 1.3252
3.2481 3.5040 0.5054
Fe Ir
3 1
direct
0.7576 0.7576 0.5152 Fe
0.2424 0.2424 0.4848 Fe
0.5000 0.0000 0.0000 Fe
0.0000 0.5000 0.0000 Ir
```

---

No. 5
Here is a crystal of Ag2PCl relaxed with PBEsol from the Alexandria database. Energies are from meta-GGA SCAN.

Values from the calculation:
**Uncorrected formation energy**: -0.018 eV/atom
**Crystal system**: orthorhombic
**DOS(E_F)**: 1.38 states/eV per cell
**Distance to the lowest polymorph of the same formula**: 0.000 eV/atom
**SG**: Amm2 (38)

Cell and atoms, written as POSCAR:
```
Ag2PCl
1.0
-2.3169 -1.6317 -1.3124
-0.9302 -1.2540 3.2013
-3.1512 6.2362 1.5266
Cl Ag P
1 2 1
direct
0.4595 0.6252 0.9191 Cl
0.0618 0.1255 0.1236 Ag
0.2746 0.6247 0.5492 Ag
0.7041 0.1246 0.4082 P
```

---

No. 6
Here is a crystal of K2ScPt relaxed with PBEsol from the Alexandria database. Energies are from meta-GGA SCAN.

Values from the calculation:
**Crystal system**: tetragonal
**DOS(E_F)**: 2.95 states/eV per cell
**Distance to the lowest polymorph of the same formula**: 0.782 eV/atom
**SG**: P4/mmm (123)

Cell and atoms, written as POSCAR:
```
K2ScPt
1.0
3.0574 0.0285 0.0000
-0.0309 3.0574 0.0000
0.0000 0.0000 11.6635
Pt K Sc
1 2 1
direct
0.5000 0.5000 0.5000 Pt
0.0000 0.0000 0.6970 K
0.0000 0.0000 0.3030 K
0.5000 0.5000 0.0000 Sc
```

---

No. 7
Here is a crystal of InAgIr2 relaxed with PBEsol from the Alexandria database. Energies are from meta-GGA SCAN.

Values from the calculation:
**Crystal system**: trigonal
**VASP energy**: -51.45 eV/atom
**DOS(E_F)**: 2.66 states/eV per cell
**SG**: R3m (160)

Cell and atoms, written as POSCAR:
```
InAgIr2
1.0
2.8475 0.0000 0.0000
1.4237 2.4660 0.0000
1.4237 0.8220 9.1626
In Ir Ag
1 2 1
direct
0.2529 0.2529 0.2414 In
0.7459 0.7459 0.7624 Ir
0.0042 0.0042 0.9873 Ir
0.4971 0.4971 0.5088 Ag
```

---

No. 8
Here is a crystal of Pr3NF6 relaxed with PBEsol from the Alexandria database. Energies are from meta-GGA SCAN.

Values from the calculation:
**Uncorrected formation energy**: -3.809 eV/atom
**Crystal system**: monoclinic
**DOS(E_F)**: 0.00 states/eV per cell
**SG**: Cm (8)

Cell and atoms, written as POSCAR:
```
Pr3NF6
1.0
3.9466 -0.0118 0.0765
0.0166 5.8724 0.0742
1.8641 2.9420 6.1428
F Pr N
6 3 1
direct
0.8549 0.0683 0.3250 F
0.8857 0.6353 0.2633 F
0.5214 0.7791 0.9920 F
0.2092 0.5072 0.6156 F
0.7126 0.2276 0.6076 F
0.1826 0.9190 0.6686 F
0.3574 0.3451 0.3200 Pr
0.0352 0.0790 0.9648 Pr
0.6720 0.6720 0.6901 Pr
0.5170 0.2934 0.0009 N
```